No. 1
This record from OQMD describes a relaxed ZnSnTeO crystal. The functional is GGA-PBE.

Unit cell a=5.0863 b=5.0863 c=7.3624 alpha=90.00 beta=90.00 gamma=90.00
Positions (direct):
Zn 0.2500 0.2500 0.1531
Zn 0.7500 0.7500 0.8469
Sn 0.2500 0.2500 0.6774
Sn 0.7500 0.7500 0.3226
Te 0.2500 0.7500 0.0000
Te 0.7500 0.2500 0.0000
O 0.2500 0.2500 0.4105
O 0.7500 0.7500 0.5895

Results
The total DFT energy (no corrections) comes out at -3.756 eV per atom. For the excess energy over the best structure of this formula in the dataset, the calculation gives 328 meV per atom.



No. 2
This record from OQMD describes a relaxed ZnSnTeO crystal. The functional is GGA-PBE.

Unit cell a=8.2529 b=8.2529 c=6.7216 alpha=90.00 beta=90.00 gamma=157.26
Positions (direct):
Zn 0.1681 0.8319 0.5000
Zn 0.8319 0.1681 0.0000
Sn 0.4607 0.5393 0.6458
Sn 0.5393 0.4607 0.1458
Te 0.1802 0.8198 0.8953
Te 0.8198 0.1802 0.3953
O 0.3858 0.6142 0.8989
O 0.6142 0.3858 0.3989

Results
The total DFT energy (no corrections) comes out at -3.932 eV per atom. For the excess energy over the best structure of this formula in the dataset, the calculation gives 151 meV per atom.



No. 3
This record from OQMD describes a relaxed ZnSn2O4 crystal. The functional is GGA-PBE.

Unit cell a=6.5355 b=6.5355 c=9.0552 alpha=90.00 beta=90.00 gamma=90.00
Positions (direct):
Zn 0.0000 0.2374 0.0000
Zn 0.0000 0.7626 0.5000
Zn 0.2374 0.0000 0.7500
Zn 0.7626 0.0000 0.2500
Sn 0.2360 0.2360 0.3750
Sn 0.2360 0.7640 0.1250
Sn 0.2521 0.5000 0.7500
Sn 0.5000 0.2521 0.0000
Sn 0.5000 0.7479 0.5000
Sn 0.7479 0.5000 0.2500
Sn 0.7640 0.2360 0.6250
Sn 0.7640 0.7640 0.8750
O 0.0444 0.2639 0.7731
O 0.0444 0.7361 0.7269
O 0.2639 0.0444 0.9769
O 0.2639 0.9556 0.5231
O 0.2691 0.4816 0.9843
O 0.2691 0.5184 0.5157
O 0.4816 0.2691 0.7657
O 0.4816 0.7309 0.7343
O 0.5184 0.2691 0.2343
O 0.5184 0.7309 0.2657
O 0.7309 0.4816 0.0157
O 0.7309 0.5184 0.4843
O 0.7361 0.0444 0.0231
O 0.7361 0.9556 0.4769
O 0.9556 0.2639 0.2269
O 0.9556 0.7361 0.2731

Results
The total DFT energy (no corrections) comes out at -5.500 eV per atom.



No. 4
This record from OQMD describes a relaxed Zn2SnO4 crystal. The functional is GGA-PBE.

Unit cell a=6.1463 b=6.1463 c=6.1463 alpha=60.00 beta=60.00 gamma=60.00
Positions (direct):
Zn 0.0000 0.0000 0.0000
Zn 0.0000 0.0000 0.5000
Zn 0.0000 0.5000 0.0000
Zn 0.5000 0.0000 0.0000
Sn 0.3750 0.3750 0.3750
Sn 0.6250 0.6250 0.6250
O 0.2284 0.7572 0.7572
O 0.2428 0.2428 0.2428
O 0.2428 0.2428 0.7716
O 0.2428 0.7716 0.2428
O 0.7572 0.2284 0.7572
O 0.7572 0.7572 0.2284
O 0.7572 0.7572 0.7572
O 0.7716 0.2428 0.2428

Results
The total DFT energy (no corrections) comes out at -5.172 eV per atom.



No. 5
This record from OQMD describes a relaxed Zr2SnO6 crystal. The functional is GGA-PBE.

Unit cell a=4.1835 b=9.0860 c=6.0600 alpha=90.00 beta=106.65 gamma=90.00
Positions (direct):
Zr 0.0277 0.1772 0.3723
Zr 0.0277 0.3228 0.8723
Zr 0.9723 0.6772 0.1277
Zr 0.9723 0.8228 0.6277
Sn 0.5000 0.0000 0.0000
Sn 0.5000 0.5000 0.5000
O 0.1400 0.0954 0.7036
O 0.1400 0.4046 0.2036
O 0.1399 0.6463 0.4854
O 0.1399 0.8537 0.9854
O 0.4738 0.1330 0.2782
O 0.4738 0.3670 0.7782
O 0.5262 0.6330 0.2218
O 0.5262 0.8670 0.7218
O 0.8601 0.1463 0.0146
O 0.8601 0.3537 0.5146
O 0.8600 0.5954 0.7964
O 0.8600 0.9046 0.2964

Results
The magnetic moment is 0.000 μB/cell. The total DFT energy (no corrections) comes out at -8.155 eV per atom.



No. 6
This record from OQMD describes a relaxed Sr3Ta2O8 crystal. The functional is GGA-PBE.

Unit cell a=7.5154 b=7.5154 c=7.5154 alpha=46.39 beta=46.39 gamma=46.39
Positions (direct):
Sr 0.0000 0.0000 0.0000
Sr 0.1943 0.1943 0.1943
Sr 0.8057 0.8057 0.8057
Ta 0.4040 0.4040 0.4040
Ta 0.5960 0.5960 0.5960
O 0.2221 0.7375 0.7375
O 0.2625 0.2625 0.7779
O 0.2625 0.7779 0.2625
O 0.3120 0.3120 0.3120
O 0.6880 0.6880 0.6880
O 0.7375 0.2221 0.7375
O 0.7375 0.7375 0.2221
O 0.7779 0.2625 0.2625

Results
The magnetic moment is 0.000 μB/cell. The total DFT energy (no corrections) comes out at -8.221 eV per atom.